1.
A geometry-optimized HfHg2Pd2 structure, computed with PBE.

```
HfHg2Pd2
1.0
7.816 0.000 0.000
0.000 7.816 0.000
0.000 0.000 3.141
Hf Hg Pd
2 4 4
Direct
0.000 0.000 0.000 Hf
0.500 0.500 0.000 Hf
0.128 0.372 0.000 Hg
0.372 0.872 0.000 Hg
0.628 0.128 0.000 Hg
0.872 0.628 0.000 Hg
0.174 0.674 0.500 Pd
0.326 0.174 0.500 Pd
0.674 0.826 0.500 Pd
0.826 0.326 0.500 Pd
```

formation enthalpy at 0 K: -6.5 kJ/mol of atoms
spin magnetization: 0.000 μB/cell
energy above the lowest structure with this stoichiometry: 12.84 kJ per mole of atoms
density of states at the Fermi level: 7.8 states/eV/cell

---

2.
A geometry-optimized LiGa2As2 structure, computed with PBE.

```
LiGa2As2
1.0
7.316 0.000 0.000
0.000 7.316 0.000
0.000 0.000 3.578
Li Ga As
2 4 4
Direct
0.000 0.000 0.000 Li
0.500 0.500 0.000 Li
0.141 0.359 0.500 Ga
0.359 0.859 0.500 Ga
0.641 0.141 0.500 Ga
0.859 0.641 0.500 Ga
0.157 0.657 0.000 As
0.343 0.157 0.000 As
0.657 0.843 0.000 As
0.843 0.343 0.000 As
```

formation enthalpy at 0 K: -11.3 kJ/mol of atoms
spin magnetization: 0.000 μB/cell
energy above the lowest structure with this stoichiometry: 0.12 kJ per mole of atoms
density of states at the Fermi level: 2.7 states/eV/cell